# 1
## Ho3U2Ru4 (GGA-PBE)

Data for a geometry-optimized Ho3U2Ru4 structure.

Lattice parameters (Å, degrees): 4.197 5.823 8.831 100.09 90.02 111.11
Site moments in Bohr magnetons follow the coordinates.
Fractional coordinates of all 9 atoms:
Ho 0.375 0.750 0.614  0.08
Ho 0.000 0.000 0.000  0.01
Ho 0.625 0.250 0.386  0.08
U 0.326 0.653 0.221  0.74
U 0.674 0.347 0.779  0.74
Ru 0.717 0.433 0.093  -0.09
Ru 0.092 0.184 0.636  -0.06
Ru 0.908 0.816 0.364  -0.06
Ru 0.283 0.567 0.907  -0.09

=====

# 2
## FePbAu2 (GGA-PBE)

Data for a geometry-optimized FePbAu2 structure.

Lattice parameters (Å, degrees): 3.890 3.890 10.625 79.45 79.45 90.00
Site moments in Bohr magnetons follow the coordinates.
Fractional coordinates of all 8 atoms:
Pb 0.000 0.000 0.000  0.01
Pb 0.750 0.250 0.500  0.01
Au 0.615 0.125 0.250  0.00
Au 0.135 0.625 0.250  0.00
Au 0.375 0.385 0.750  0.00
Au 0.875 0.865 0.750  0.00
Fe 0.500 0.500 0.000  -0.12
Fe 0.250 0.750 0.500  -0.13

=====

| no. | formation energy from the elements (eV/atom) |
| --- | --- |
| 1 | -0.382 |
| 2 | 0.572 |